PmCoF: optimized geometry, PBE+U.

Cell lengths 9.0739, 4.3730, 4.3730 Å; angles 46.47, 90.00, 90.00 degrees
Closest atoms and distances in Å follow each position.
Sites, in units of the cell vectors:
Pm 0.2287 0.0000 0.0000  3 F 2.33-2.47
Pm 0.7713 0.0000 0.0000  3 F 2.33-2.47
Co 0.0000 0.6938 0.6938  2 F 2.48
Co 0.5000 0.4175 0.4175  4 Pm 3.08, 6 F 3.15
F 0.2723 0.7139 0.7139  3 Pm 2.33-2.47, 1 Co 2.48
F 0.7277 0.7139 0.7139  3 Pm 2.33-2.47, 1 Co 2.48

Output
* symmetry: No. 38
* D(E_F): 0.4367 states/eV per atom
* total energy: -4.909 eV per atom
* size of the total moment: 1.6 μB per formula unit